Below is a geometry-optimized GdGaGe structure, with properties calculated at the GGA-PBE level.

Cell lengths 7.627, 7.627, 4.113 Å; angles 90.00, 90.00, 120.00 degrees
Positions (direct):
Gd: 0.000 0.723 0.000
Gd: 0.277 0.277 0.000
Gd: 0.723 0.000 0.000
Ga: 0.000 0.405 0.500
Ga: 0.405 0.000 0.500
Ga: 0.595 0.595 0.500
Ge: 0.000 0.000 0.500
Ge: 0.333 0.667 0.000
Ge: 0.667 0.333 0.000

**Uncorrected energy**: -4.449 eV/atom
**SG**: P-62m (189)
**Total magnetic moment**: 0.03 μB per cell
**Energy relative to the lowest polymorph listed for this composition**: 0.318 eV/atom